[1]
Density functional theory data (PBE-GGA) for LuFeRe after structural relaxation. Values from VASP.

Energy relative to the lowest polymorph listed for this composition   0.000 eV per atom
SG   F-43m

Quantum ESPRESSO input file:
```
&SYSTEM
  ibrav = 0, nat = 3, ntyp = 3
/
ATOMIC_SPECIES
Fe 55.84 Fe.upf
Lu 174.97 Lu.upf
Re 186.21 Re.upf
CELL_PARAMETERS angstrom
0.000 3.034 3.034
3.034 0.000 3.034
3.034 3.034 0.000
ATOMIC_POSITIONS angstrom
Fe 1.517 1.517 1.517
Lu 4.550 4.550 4.550
Re 0.000 0.000 0.000
```


[2]
Density functional theory data (PBE-GGA) for Pm2ScN3 after structural relaxation. Values from VASP.

SG   P-3m1
Calculated total energy   -8.299 eV/atom

Quantum ESPRESSO input file:
```
&SYSTEM
  ibrav = 0, nat = 6, ntyp = 3
/
ATOMIC_SPECIES
N 14.01 N.upf
Pm 145.00 Pm.upf
Sc 44.96 Sc.upf
CELL_PARAMETERS angstrom
3.469 0.000 0.000
-1.735 3.004 0.000
0.000 0.000 8.491
ATOMIC_POSITIONS angstrom
N 0.000 0.000 0.000
N 0.000 2.003 2.996
N 1.735 1.001 5.495
Pm 1.735 1.001 1.502
Pm 0.000 2.003 6.988
Sc 0.000 0.000 4.245
```


[3]
Density functional theory data (PBE-GGA) for KMgTaTe3 after structural relaxation. Values from VASP.

SG   Cmcm
Calculated total energy   -4.475 eV/atom

Quantum ESPRESSO input file:
```
&SYSTEM
  ibrav = 0, nat = 12, ntyp = 4
/
ATOMIC_SPECIES
K 39.10 K.upf
Mg 24.30 Mg.upf
Ta 180.95 Ta.upf
Te 127.60 Te.upf
CELL_PARAMETERS angstrom
-1.887 6.702 -4.714
1.221 -8.266 0.940
-10.631 -1.296 2.412
ATOMIC_POSITIONS angstrom
K -3.788 2.736 -2.736
K -7.508 -5.596 1.373
Mg -2.883 -1.625 -1.088
Mg -8.414 -1.235 -0.274
Ta 0.000 0.000 0.000
Ta -5.315 -0.648 1.206
Te -0.353 -2.679 -1.097
Te -1.671 -7.463 1.117
Te -4.860 -3.228 -0.075
Te -6.436 0.368 -1.287
Te -9.626 4.603 -2.480
Te -10.943 -0.181 -0.265
```